1.
BaLaGe2 | the Alexandria database | PBE | relaxed; ΔE_f = -413 meV per atom; volume = 33.1 Å³ per atom
1.0
-4.694 0.501 1.730
-3.890 -0.251 -3.176
-3.181 -5.893 0.381
Ge Ba La
2 1 1
Direct
0.274 0.274 0.177 Ge
0.726 0.726 0.823 Ge
0.500 0.500 0.500 Ba
0.000 0.000 0.000 La


2.
YCd2HgS | the Alexandria database | PBE | relaxed; energy relative to the elements, uncorrected = -0.1338 eV per atom; volume = 40.6 Å³ per atom
1.0
-6.176 1.097 -0.759
-0.087 -3.213 -3.937
-1.330 -4.772 3.923
Cd Hg S Y
2 1 1 1
Direct
0.500 0.000 0.000 Cd
0.000 0.000 0.500 Cd
0.500 0.500 0.500 Hg
0.000 0.500 0.000 S
0.000 0.000 0.000 Y


3.
LiPrIn2Cl6 | the Alexandria database | PBE | relaxed; energy relative to the elements, uncorrected = -1.5859 eV per atom; volume = 29.0 Å³ per atom
1.0
7.331 0.000 0.001
0.000 7.571 0.000
0.068 0.000 10.441
Cl Li In Pr
12 2 4 2
Direct
0.914 0.518 0.258 Cl
0.307 0.705 0.041 Cl
0.707 0.300 0.544 Cl
0.086 0.482 0.742 Cl
0.207 0.200 0.044 Cl
0.293 0.700 0.456 Cl
0.793 0.800 0.956 Cl
0.193 0.205 0.459 Cl
0.693 0.295 0.959 Cl
0.807 0.795 0.541 Cl
0.414 0.982 0.758 Cl
0.586 0.018 0.242 Cl
0.000 0.500 0.500 Li
0.500 0.000 0.000 Li
0.014 0.935 0.256 In
0.514 0.565 0.756 In
0.486 0.435 0.244 In
0.986 0.065 0.744 In
0.500 0.000 0.500 Pr
0.000 0.500 0.000 Pr


4.
Ba2CaSi | the Alexandria database | PBE | relaxed; energy relative to the elements, uncorrected = -0.0213 eV per atom; energy above the lowest structure with this stoichiometry = 117 meV/atom; volume = 36.7 Å³ per atom
1.0
5.338 0.000 0.000
0.000 5.338 0.000
0.000 0.000 5.144
Si Ba Ca
1 2 1
Direct
0.000 0.500 0.500 Si
0.500 0.500 0.000 Ba
0.000 0.000 0.000 Ba
0.500 0.000 0.500 Ca